## AcInSb2 (PBE)

Data for a relaxed structure of AcInSb2.

Geometry as POSCAR:
```
AcInSb2
1.0
4.6006 0.0000 0.0000
0.0000 4.6006 0.0000
0.0000 0.0000 12.1324
Ac In Sb
2 2 4
Direct
0.0000 0.5000 0.2844 Ac
0.5000 0.0000 0.7156 Ac
0.5000 0.5000 0.0000 In
0.0000 0.0000 0.0000 In
0.5000 0.0000 0.2079 Sb
0.0000 0.5000 0.7921 Sb
0.0000 0.0000 0.5000 Sb
0.5000 0.5000 0.5000 Sb
```

Distance to the lowest polymorph of the same formula ... 23 meV per atom
Final energy ... -4.33 eV/atom
Fermi-level density of states ... 4.79 states/eV per cell
Formation energy from raw total energies ... -0.5541 eV/atom
Magnetization ... 0.000 μB per formula unit
Theoretical density ... 7.57 Mg/m³